a) Crystalline LiMn3Bi at its relaxed geometry, computed with PBE-GGA.

Summary:
Symmetry: Pm-3m
Volume: 138.7 Å³ per cell

a = 5.1769 Å, b = 5.1769 Å, c = 5.1769 Å
α = 90.00°, β = 90.00°, γ = 90.00°
Site moments in Bohr magnetons follow the coordinates.
Fractional positions:
Mn  0.5000  0.0000  0.0000  3.71
Mn  0.0000  0.0000  0.5000  3.89
Mn  0.0000  0.5000  0.0000  3.78
Bi  0.0000  0.0000  0.0000  -0.14
Li  0.5000  0.5000  0.5000  -0.07

b) Crystalline LiMn3Bi at its relaxed geometry, computed with PBE-GGA.

Summary:
Symmetry: Pm-3m
Volume: 89.7 Å³ per cell

a = 4.4761 Å, b = 4.4761 Å, c = 4.4761 Å
α = 90.00°, β = 90.00°, γ = 90.00°
Site moments in Bohr magnetons follow the coordinates.
Fractional positions:
Mn  0.5000  0.0000  0.0000  3.42
Mn  0.0000  0.5000  0.0000  3.56
Mn  0.0000  0.0000  0.5000  3.80
Bi  0.5000  0.5000  0.5000  -0.20
Li  0.0000  0.0000  0.0000  -0.12

The most stable of them is b).

a) Crystalline LiBi2Mo at its relaxed geometry, computed with PBE-GGA.

Summary:
Symmetry: I-42d
Volume: 269.3 Å³ per cell

a = 6.7555 Å, b = 6.7555 Å, c = 7.5928 Å
α = 63.59°, β = 63.59°, γ = 90.00°
Site moments in Bohr magnetons follow the coordinates.
Fractional positions:
Bi  0.0985  0.6250  0.2500  -0.14
Bi  0.3750  0.3485  0.7500  -0.15
Bi  0.6515  0.1250  0.2500  -0.14
Bi  0.8750  0.9015  0.7500  -0.15
Mo  0.0000  0.0000  0.0000  1.26
Mo  0.7500  0.2500  0.5000  1.25
Li  0.2500  0.7500  0.5000  -0.01
Li  0.5000  0.5000  0.0000  -0.01

b) Crystalline LiBi2Mo at its relaxed geometry, computed with PBE-GGA.

Summary:
Symmetry: Fm-3m
Volume: 89.2 Å³ per cell

a = 5.0148 Å, b = 5.0148 Å, c = 5.0148 Å
α = 60.00°, β = 60.00°, γ = 60.00°
Site moments in Bohr magnetons follow the coordinates.
Fractional positions:
Mo  0.5000  0.5000  0.5000  1.73
Bi  0.2500  0.2500  0.2500  -0.04
Bi  0.7500  0.7500  0.7500  -0.04
Li  0.0000  0.0000  0.0000  -0.01

The most stable of them is b).